# 1
The following is a DFT calculation (SCAN) of a crystal of MgCuP2Cl relaxed with PBEsol.

Values from the calculation:
Fermi-level density of states: 4.6 states/eV per cell
raw total energy: -45.1 eV/cell

CIF file:
```
data_MgCuP2Cl
_space_group_name_H-M_alt 'P 4/m m m'
_space_group_IT_number 123
_space_group_name_Hall '-P 4 2'
_cell_length_a 4.7927
_cell_length_b 4.7927
_cell_length_c 4.6573
_cell_angle_alpha 90.00
_cell_angle_beta 90.00
_cell_angle_gamma 90.00
loop_
_atom_site_label
_atom_site_type_symbol
_atom_site_fract_x
_atom_site_fract_y
_atom_site_fract_z
Mg1 Mg 0.0000 0.0000 0.0000
Cu1 Cu 0.5000 0.5000 0.5000
P1 P 0.0000 0.5000 0.0000
Cl1 Cl 0.0000 0.0000 0.5000
```

---

# 2
The following is a DFT calculation (SCAN) of a crystal of MgCuPCl2 relaxed with PBEsol.

Values from the calculation:
Fermi-level density of states: 2.1 states/eV per cell
raw total energy: -46.6 eV/cell

CIF file:
```
data_MgCuPCl2
_space_group_name_H-M_alt 'P 4/m m m'
_space_group_IT_number 123
_space_group_name_Hall '-P 4 2'
_cell_length_a 4.5371
_cell_length_b 4.5371
_cell_length_c 5.5699
_cell_angle_alpha 90.00
_cell_angle_beta 90.00
_cell_angle_gamma 90.00
loop_
_atom_site_label
_atom_site_type_symbol
_atom_site_fract_x
_atom_site_fract_y
_atom_site_fract_z
Mg1 Mg 0.0000 0.0000 0.0000
Cu1 Cu 0.5000 0.5000 0.5000
P1 P 0.0000 0.0000 0.5000
Cl1 Cl 0.0000 0.5000 0.0000
```

---

# 3
The following is a DFT calculation (SCAN) of a crystal of MgCuS2Cl relaxed with PBEsol.

Values from the calculation:
Fermi-level density of states: 3.6 states/eV per cell
raw total energy: -47.0 eV/cell

CIF file:
```
data_MgCuS2Cl
_space_group_name_H-M_alt 'P 4/m m m'
_space_group_IT_number 123
_space_group_name_Hall '-P 4 2'
_cell_length_a 4.7481
_cell_length_b 4.7481
_cell_length_c 4.6985
_cell_angle_alpha 90.00
_cell_angle_beta 90.00
_cell_angle_gamma 90.00
loop_
_atom_site_label
_atom_site_type_symbol
_atom_site_fract_x
_atom_site_fract_y
_atom_site_fract_z
Mg1 Mg 0.0000 0.0000 0.0000
Cu1 Cu 0.5000 0.5000 0.5000
S1 S 0.0000 0.5000 0.0000
Cl1 Cl 0.0000 0.0000 0.5000
```

---

# 4
The following is a DFT calculation (SCAN) of a crystal of Mn2CuCl relaxed with PBEsol.

Values from the calculation:
Fermi-level density of states: 1.8 states/eV per cell
raw total energy: -60.3 eV/cell

CIF file:
```
data_Mn2CuCl
_space_group_name_H-M_alt 'P 4/m m m'
_space_group_IT_number 123
_space_group_name_Hall '-P 4 2'
_cell_length_a 2.9211
_cell_length_b 2.9211
_cell_length_c 6.8146
_cell_angle_alpha 90.00
_cell_angle_beta 90.00
_cell_angle_gamma 90.00
loop_
_atom_site_label
_atom_site_type_symbol
_atom_site_fract_x
_atom_site_fract_y
_atom_site_fract_z
Mn1 Mn 0.0000 0.0000 0.2248
Cu1 Cu 0.5000 0.5000 0.0000
Cl1 Cl 0.5000 0.5000 0.5000
```

---

What did the second record say?
The following is a DFT calculation (SCAN) of a crystal of MgCuPCl2 relaxed with PBEsol.

Values from the calculation:
Fermi-level density of states: 2.1 states/eV per cell
raw total energy: -46.6 eV/cell

CIF file:
```
data_MgCuPCl2
_space_group_name_H-M_alt 'P 4/m m m'
_space_group_IT_number 123
_space_group_name_Hall '-P 4 2'
_cell_length_a 4.5371
_cell_length_b 4.5371
_cell_length_c 5.5699
_cell_angle_alpha 90.00
_cell_angle_beta 90.00
_cell_angle_gamma 90.00
loop_
_atom_site_label
_atom_site_type_symbol
_atom_site_fract_x
_atom_site_fract_y
_atom_site_fract_z
Mg1 Mg 0.0000 0.0000 0.0000
Cu1 Cu 0.5000 0.5000 0.5000
P1 P 0.0000 0.0000 0.5000
Cl1 Cl 0.0000 0.5000 0.0000
```

---

Question: Which of these has the lowest Fermi-level density of states?
Answer: Mn2CuCl